A plane-wave DFT calculation with PBE was carried out for crystalline BaPW2 at its relaxed geometry.

The total magnetic moment comes out at 0.0000 μB/atom. Its formation energy from the elements is 29.92 kcal/mol of atoms. As for the final energy: -56.10 eV for the cell shown.

The structure belongs to space group C2/m (No. 12); the cell edges are 5.956, 11.144 and 2.840 Å and the angles 90.00°, 118.28° and 90.00°. Symmetry generates all atoms from Ba at (0.000, 0.000, 0.000), P at (0.000, 0.500, 0.000) and W at (0.250, 0.250, 0.000).